[1]
{"formula": "Cr2Ni2Pd7", "functional": "PBE-GGA", "state": "relaxed", "ef_kj_per_mol_fu": 59.6, "rho_g_cm3": 9.9, "total_magnetization_mub_per_atom": 0.41, "space_group": "Imm2 (44)", "crystal_system": "orthorhombic", "cell": [[-3.3062, 2.1085, -1.5539], [-4.1726, -3.2520, 4.4654], [4.5650, 4.5934, 2.2446]], "species": ["Pd", "Pd", "Pd", "Pd", "Pd", "Pd", "Pd", "Ni", "Ni", "Cr", "Cr"], "fractional_positions": [[0.8483, 0.7570, 0.6966], [0.8582, 0.1883, 0.7163], [0.1517, 0.0604, 0.3034], [0.5000, 0.9477, 0.0000], [0.6400, 0.7589, 0.2800], [0.1418, 0.4720, 0.2837], [0.3600, 0.4790, 0.7200], [0.0000, 0.6253, 0.0000], [0.5000, 0.3166, 0.0000], [0.2971, 0.9214, 0.5942], [0.7029, 0.3272, 0.4058]]}

=====

[2]
{"formula": "Ca4NdPb15", "functional": "PBE-GGA", "state": "relaxed", "ef_kj_per_mol_fu": -634.8, "rho_g_cm3": 9.4, "total_magnetization_mub_per_atom": 0.00, "space_group": "P4/mmm (123)", "crystal_system": "tetragonal", "cell": [[4.9248, 0.0000, 0.0000], [0.0000, 4.9248, 0.0000], [0.0000, 0.0000, 24.8396]], "species": ["Pb", "Pb", "Pb", "Pb", "Pb", "Pb", "Pb", "Pb", "Pb", "Pb", "Pb", "Pb", "Pb", "Pb", "Pb", "Ca", "Ca", "Ca", "Ca", "Nd"], "fractional_positions": [[0.0000, 0.5000, 0.5000], [0.5000, 0.0000, 0.3000], [0.5000, 0.5000, 0.0000], [0.0000, 0.5000, 0.7000], [0.0000, 0.5000, 0.1009], [0.5000, 0.5000, 0.3996], [0.5000, 0.0000, 0.1009], [0.5000, 0.5000, 0.2000], [0.0000, 0.5000, 0.3000], [0.0000, 0.5000, 0.8991], [0.5000, 0.0000, 0.5000], [0.5000, 0.0000, 0.7000], [0.5000, 0.0000, 0.8991], [0.5000, 0.5000, 0.8000], [0.5000, 0.5000, 0.6004], [0.0000, 0.0000, 0.1994], [0.0000, 0.0000, 0.4000], [0.0000, 0.0000, 0.8006], [0.0000, 0.0000, 0.6000], [0.0000, 0.0000, 0.0000]]}

=====

[3]
{"formula": "Sr3LiCa", "functional": "PBE-GGA", "state": "relaxed", "ef_kj_per_mol_fu": 20.0, "de_polymorph_mev_per_atom": 0, "rho_g_cm3": 2.2, "total_magnetization_mub_per_atom": 0.00, "space_group": "C2/m (12)", "crystal_system": "monoclinic", "cell": [[4.1249, 0.0000, 0.0000], [-2.0624, 9.9234, -0.7307], [0.0000, 1.5426, 11.1816]], "species": ["Ca", "Ca", "Sr", "Sr", "Sr", "Sr", "Sr", "Sr", "Li", "Li"], "fractional_positions": [[0.4121, 0.8242, 0.4396], [0.5879, 0.1758, 0.5604], [0.4010, 0.8020, 0.0863], [0.9376, 0.8751, 0.7477], [0.2501, 0.5002, 0.6784], [0.7499, 0.4998, 0.3216], [0.5990, 0.1980, 0.9137], [0.0624, 0.1249, 0.2523], [0.2159, 0.4318, 0.0671], [0.7841, 0.5682, 0.9329]]}

=====

[4]
{"formula": "LaH2Cl6", "functional": "PBE-GGA", "state": "relaxed", "rho_g_cm3": 2.3, "total_magnetization_mub_per_atom": 0.00, "e_tot_ry_per_atom": -0.2704, "space_group": "C2/c (15)", "crystal_system": "monoclinic", "cell": [[-3.6048, 3.4290, -1.1234], [-4.2746, -6.6416, -6.0480], [-5.9163, -4.1456, 6.8391]], "species": ["Cl", "Cl", "Cl", "Cl", "Cl", "Cl", "Cl", "Cl", "Cl", "Cl", "Cl", "Cl", "La", "La", "H", "H", "H", "H"], "fractional_positions": [[0.7654, 0.6253, 0.6320], [0.7451, 0.9737, 0.8173], [0.2549, 0.3998, 0.8632], [0.7451, 0.6002, 0.1368], [0.7549, 0.8632, 0.3998], [0.2451, 0.1368, 0.6002], [0.7346, 0.3680, 0.3747], [0.2549, 0.0263, 0.1827], [0.2451, 0.8173, 0.9737], [0.2346, 0.3747, 0.3680], [0.2654, 0.6320, 0.6253], [0.7549, 0.1827, 0.0263], [0.2500, 0.1165, 0.8835], [0.7500, 0.8835, 0.1165], [0.7618, 0.7377, 0.5123], [0.2382, 0.2623, 0.4877], [0.2618, 0.5123, 0.7377], [0.7382, 0.4877, 0.2623]]}

=====

[5]
{"formula": "Tm3Si2Ru5", "functional": "PBE-GGA", "state": "relaxed", "rho_g_cm3": 10.5, "total_magnetization_mub_per_atom": 0.00, "space_group": "P4/mbm (127)", "crystal_system": "tetragonal", "e_form_raw_ev_per_atom": -0.653, "cell": [[3.3094, 0.0000, 0.0000], [0.0000, 10.0939, 0.0000], [0.0000, 0.0000, 10.0939]], "species": ["Ru", "Ru", "Ru", "Ru", "Ru", "Ru", "Ru", "Ru", "Ru", "Ru", "Tm", "Tm", "Tm", "Tm", "Tm", "Tm", "Si", "Si", "Si", "Si"], "fractional_positions": [[0.5000, 0.7150, 0.4291], [0.5000, 0.0709, 0.7850], [0.5000, 0.2150, 0.0709], [0.5000, 0.9291, 0.2150], [0.5000, 0.4291, 0.2850], [0.5000, 0.5000, 0.0000], [0.5000, 0.0000, 0.5000], [0.5000, 0.5709, 0.7150], [0.5000, 0.7850, 0.9291], [0.5000, 0.2850, 0.5709], [0.0000, 0.5000, 0.5000], [0.0000, 0.8271, 0.6729], [0.0000, 0.6729, 0.1729], [0.0000, 0.3271, 0.8271], [0.0000, 0.0000, 0.0000], [0.0000, 0.1729, 0.3271], [0.0000, 0.6258, 0.8742], [0.0000, 0.1258, 0.6258], [0.0000, 0.8742, 0.3742], [0.0000, 0.3742, 0.1258]]}

=====

[6]
{"formula": "NaAs2S3", "functional": "PBE-GGA", "state": "relaxed", "de_polymorph_mev_per_atom": 315, "rho_g_cm3": 2.5, "total_magnetization_mub_per_atom": 0.00, "space_group": "Cmcm (63)", "crystal_system": "orthorhombic", "e_form_raw_ev_per_atom": -0.076, "cell": [[-4.8284, -0.6905, -3.9873], [-3.5131, -4.3069, 5.0000], [-3.1099, 6.2461, 2.6843]], "species": ["As", "As", "As", "As", "Na", "Na", "S", "S", "S", "S", "S", "S"], "fractional_positions": [[0.5000, 0.1838, 0.1838], [0.5000, 0.8162, 0.8162], [0.0000, 0.8162, 0.8162], [0.0000, 0.1838, 0.1838], [0.2500, 0.4090, 0.5910], [0.7500, 0.5910, 0.4090], [0.7500, 0.0780, 0.9220], [0.2500, 0.7962, 0.5703], [0.7500, 0.2038, 0.4297], [0.2500, 0.9220, 0.0780], [0.2500, 0.4297, 0.2038], [0.7500, 0.5703, 0.7962]]}

=====

[7]
{"formula": "LaMgRe3", "functional": "PBE-GGA", "state": "relaxed", "ef_kj_per_mol_fu": 925.5, "de_polymorph_mev_per_atom": 0, "rho_g_cm3": 11.5, "total_magnetization_mub_per_atom": 0.00, "space_group": "Pm-3m (221)", "crystal_system": "cubic", "cell": [[4.6998, 0.0000, 0.0000], [0.0000, 4.6998, 0.0000], [0.0000, 0.0000, 4.6998]], "species": ["Re", "Re", "Re", "La", "Mg"], "fractional_positions": [[0.0000, 0.0000, 0.5000], [0.5000, 0.0000, 0.0000], [0.0000, 0.5000, 0.0000], [0.5000, 0.5000, 0.5000], [0.0000, 0.0000, 0.0000]]}

=====

[8]
{"formula": "CaAsSe2I", "functional": "PBE-GGA", "state": "relaxed", "de_polymorph_mev_per_atom": 0, "rho_g_cm3": 4.3, "total_magnetization_mub_per_atom": 0.00, "space_group": "P4/mmm (123)", "crystal_system": "tetragonal", "e_form_raw_ev_per_atom": 0.179, "cell": [[-1.2245, -5.2211, -0.3687], [4.8052, -1.2715, 2.0466], [-2.0837, 0.1372, 4.9776]], "species": ["I", "As", "Se", "Se", "Ca"], "fractional_positions": [[0.0000, 0.0000, 0.0000], [0.0000, 0.0000, 0.5000], [0.5000, 0.0000, 0.0000], [0.0000, 0.5000, 0.0000], [0.5000, 0.5000, 0.5000]]}